Here is an optimized crystal structure of NiBiN2F from Alexandria. Energies are from PBE with a Hubbard U.

## Properties
Excess energy over the best structure of this formula in the dataset = 721 meV/atom
Size of the total moment = 1.99 Bohr magnetons per cell

Structure (POSCAR):
```
NiBiN2F
1.0
4.319 0.000 0.000
0.000 4.319 0.000
0.000 0.000 4.321
Ni Bi N F
1 1 2 1
direct
0.000 0.000 0.000
0.500 0.500 0.500
0.000 0.500 0.500
0.500 0.000 0.500
0.500 0.500 0.000
```